w:
Below is BeFeSbI2 after structural relaxation, with properties calculated at the PBE level.

Geometry as POSCAR:
```
BeFeSbI2
1.0
-0.665 -3.118 -3.955
-3.153 -2.854 2.780
-3.759 2.697 -1.495
I Fe Be Sb
2 1 1 1
Direct
0.500 0.000 0.000
0.000 0.500 0.000
0.500 0.500 0.500
0.000 0.000 0.000
0.000 0.000 0.500
```

Output
* M_tot: 3.64 μB/f.u.
* SG: P4/mmm (123)

x:
Below is BeFeSbI2 after structural relaxation, with properties calculated at the PBE level.

Geometry as POSCAR:
```
BeFeSbI2
1.0
5.512 0.000 0.000
0.000 5.512 0.000
0.000 0.000 4.912
Be I Sb Fe
1 2 1 1
Direct
0.500 0.500 0.500
0.000 0.500 0.000
0.500 0.000 0.000
0.000 0.000 0.500
0.000 0.000 0.000
```

Output
* M_tot: 1.90 μB/f.u.
* SG: P4/mmm (123)

In eV/atom, relative to the most stable structure: w 0.006; x 0.000.